Record 1
{"formula": "LaSnNO2", "functional": "GGA-PBEsol", "state": "optimized geometry", "lattice_angstrom": [[4.060, 0.000, 0.000], [0.000, 4.060, 0.000], [0.000, 0.000, 4.101]], "species": ["La", "Sn", "N", "O", "O"], "frac_coords": [[0.000, 0.000, 0.000], [0.500, 0.500, 0.500], [0.500, 0.500, 0.000], [0.000, 0.500, 0.500], [0.500, 0.000, 0.500]], "magnetic_moment_mub_per_cell": 0.0, "sg": "P4/mmm", "e_form_raw_ev_per_atom": -1.706}

Record 2
{"formula": "TaCrIn", "functional": "GGA-PBEsol", "state": "optimized geometry", "lattice_angstrom": [[4.482, 0.000, 0.000], [-2.241, 3.882, 0.000], [0.000, 0.000, 2.809]], "species": ["Ta", "Cr", "In"], "frac_coords": [[0.000, 0.000, 0.000], [0.333, 0.667, 0.755], [0.667, 0.333, 0.429]], "n_ef_per_ev_fu": 0.77, "formation_enthalpy_0k_kj_per_mol_atoms": 30.5, "magnetic_moment_mub_per_cell": 0.0, "sg": "P3m1"}

Record 3
{"formula": "NdCO4", "functional": "GGA-PBEsol", "state": "optimized geometry", "lattice_angstrom": [[7.344, 0.000, 0.000], [0.000, 4.924, 0.000], [0.000, 0.000, 7.967]], "species": ["Nd", "Nd", "Nd", "Nd", "C", "C", "C", "C", "O", "O", "O", "O", "O", "O", "O", "O", "O", "O", "O", "O", "O", "O", "O", "O"], "frac_coords": [[0.146, 0.250, 0.173], [0.354, 0.750, 0.673], [0.646, 0.250, 0.327], [0.854, 0.750, 0.827], [0.193, 0.250, 0.810], [0.307, 0.750, 0.310], [0.693, 0.250, 0.690], [0.807, 0.750, 0.190], [0.040, 0.750, 0.586], [0.144, 0.023, 0.878], [0.144, 0.477, 0.878], [0.202, 0.750, 0.183], [0.298, 0.250, 0.683], [0.356, 0.523, 0.378], [0.356, 0.977, 0.378], [0.460, 0.250, 0.086], [0.540, 0.750, 0.914], [0.644, 0.023, 0.622], [0.644, 0.477, 0.622], [0.702, 0.750, 0.317], [0.798, 0.250, 0.817], [0.856, 0.523, 0.122], [0.856, 0.977, 0.122], [0.960, 0.250, 0.414]], "n_ef_per_ev_fu": 1.40, "magnetic_moment_mub_per_cell": 4.0, "sg": "Pnma", "e_form_raw_ev_per_atom": -1.992}

Record 4
{"formula": "CoNi2Rh", "functional": "GGA-PBEsol", "state": "optimized geometry", "lattice_angstrom": [[1.271, 0.734, 8.157], [-1.271, 0.734, 8.157], [0.000, -1.467, 8.157]], "species": ["Co", "Ni", "Ni", "Rh"], "frac_coords": [[0.000, 0.000, 0.000], [0.254, 0.254, 0.254], [0.746, 0.746, 0.746], [0.500, 0.500, 0.500]], "n_ef_per_ev_fu": 5.36, "formation_enthalpy_0k_kj_per_mol_atoms": 7.0, "magnetic_moment_mub_per_cell": 3.7, "sg": "R-3m"}

Record 5
{"formula": "KAs2Ru", "functional": "GGA-PBEsol", "state": "optimized geometry", "lattice_angstrom": [[-2.055, 3.077, 3.740], [2.055, -3.077, 3.740], [2.055, 3.077, -3.740]], "species": ["K", "As", "As", "Ru"], "frac_coords": [[0.000, 0.000, 0.000], [0.333, 0.833, 0.500], [0.667, 0.167, 0.500], [0.500, 0.500, 0.000]], "n_ef_per_ev_fu": 3.02, "formation_enthalpy_0k_kj_per_mol_atoms": 18.0, "magnetic_moment_mub_per_cell": 0.0, "sg": "Immm"}

Record 6
{"formula": "CoReSi3", "functional": "GGA-PBEsol", "state": "optimized geometry", "lattice_angstrom": [[4.171, 0.000, 0.000], [0.000, 4.171, 0.000], [0.000, 0.000, 4.171]], "species": ["Co", "Re", "Si", "Si", "Si"], "frac_coords": [[0.000, 0.000, 0.000], [0.500, 0.500, 0.500], [0.000, 0.000, 0.500], [0.000, 0.500, 0.000], [0.500, 0.000, 0.000]], "n_ef_per_ev_fu": 5.14, "magnetic_moment_mub_per_cell": 0.0, "sg": "Pm-3m", "e_form_raw_ev_per_atom": 0.847}

For reference, VASP energy by record: -7.43; -8.28; -7.96; -6.98; -5.19; -6.81 eV per atom.